DFT (PBE-GGA) results for a relaxed structure of KLi3Hg.

Values from the calculation:
Its polymorph energy (0 for the lowest one) is 0.00 eV/f.u. The calculation puts the calculated volume at 152.3 Å³ per cell. Its formation energy is -0.28 eV/f.u. As for the final energy: -1.484 eV/atom. As for the total magnetization: 0.0 μB per cell.

The structure in extended XYZ format:
```
5
Lattice="5.340 0.000 0.000 0.000 5.340 0.000 0.000 0.000 5.340" Properties=species:S:1:pos:R:3 pbc="T T T"
Hg 0.000 0.000 0.000
K 2.670 2.670 2.670
Li 0.000 2.670 0.000
Li 0.000 0.000 2.670
Li 2.670 0.000 0.000
```